# Ce2BiSe (PBE, optimized geometry)
data_Ce2BiSe
_chemical_formula_sum 'Ce6 Bi3 Se3'
_space_group_name_H-M_alt 'R 3 m'
_space_group_IT_number 160
_space_group_name_Hall 'R 3 -2"'
_cell_length_a 4.2964
_cell_length_b 4.2964
_cell_length_c 22.7219
_cell_angle_alpha 90.00
_cell_angle_beta 90.00
_cell_angle_gamma 120.00
loop_
_atom_site_label
_atom_site_fract_x
_atom_site_fract_y
_atom_site_fract_z
Ce1 0.0000 0.0000 0.0000
Ce2 0.0000 0.0000 0.1872
Bi1 0.0000 0.0000 0.7615
Se1 0.0000 0.0000 0.5914
# Energy above the most stable polymorph in this dataset = 8.0 kJ per mole of atoms
# Formation energy from raw total energies = -1.1950 eV/atom

=====

The following is a DFT calculation (PBE) of a relaxed structure of SmTl2Pd.

```
data_SmTl2Pd
_chemical_formula_sum 'Sm1 Tl2 Pd1'
_space_group_name_H-M_alt 'P 4/m m m'
_space_group_IT_number 123
_space_group_name_Hall '-P 4 2'
_cell_length_a 4.465
_cell_length_b 4.465
_cell_length_c 4.894
_cell_angle_alpha 90.00
_cell_angle_beta 90.00
_cell_angle_gamma 90.00
loop_
_atom_site_label
_atom_site_fract_x
_atom_site_fract_y
_atom_site_fract_z
Sm1 0.000 0.000 0.000
Tl1 0.000 0.500 0.500
Pd1 0.500 0.500 0.000
```

=====

no.,total DFT energy (no corrections) (eV per atom),V (Å³ per cell)
1,-6.003,363.2
2,-3.984,97.6